BaCaNi2Ir | GGA-PBE | relaxed

The value obtained for the raw total energy is -3.93 eV per atom. As for the space group: P4/mmm.

a b c (Å): 4.908 4.908 5.172
angles (deg): 90.00 90.00 90.00
Fractional coordinates of all 5 atoms:
Ba  0.000  0.000  0.000
Ca  0.500  0.500  0.500
Ni  0.000  0.500  0.500
Ni  0.500  0.000  0.500
Ir  0.500  0.500  0.000